<A>
! BC2 PBE optimized geometry; values from VASP
! * volume: 6.41 Å³ per atom
! * magnetization: 0.00 μB/atom
! * crystal system: monoclinic
&SYSTEM
  ibrav = 0, nat = 12, ntyp = 2
/
ATOMIC_SPECIES
B 10.81 B.upf
C 12.01 C.upf
ATOMIC_POSITIONS crystal
B 0.8315 0.6685 0.2500
B 0.1883 0.3117 0.2500
B 0.3431 0.6979 0.9764
B 0.8021 0.1569 0.5236
C 0.1745 0.8405 0.5093
C 0.5006 0.4956 0.5228
C 0.9921 0.5079 0.7500
C 0.4924 0.0076 0.2500
C 0.6595 0.3255 0.9907
C 0.3344 0.1656 0.7500
C 0.0044 0.9994 0.9772
C 0.6770 0.8230 0.7500
CELL_PARAMETERS angstrom
-2.4136 -4.9879 -2.1595
4.7789 3.5356 -0.1715
1.6195 -2.0021 2.7247

<B>
! BC2 PBE optimized geometry; values from VASP
! * volume: 6.33 Å³ per atom
! * magnetization: 0.00 μB/atom
! * crystal system: monoclinic
&SYSTEM
  ibrav = 0, nat = 12, ntyp = 2
/
ATOMIC_SPECIES
B 10.81 B.upf
C 12.01 C.upf
ATOMIC_POSITIONS crystal
B 0.5091 0.5091 0.3840
B 0.3048 0.3048 0.1546
B 0.8618 0.8618 0.0537
B 0.6575 0.6575 0.8243
C 0.6688 0.6688 0.3365
C 0.1617 0.1617 0.2160
C 0.0049 0.0049 0.9923
C 0.4979 0.4979 0.8719
C 0.3322 0.3322 0.6649
C 0.1691 0.1691 0.6987
C 0.9975 0.9975 0.5097
C 0.8345 0.8345 0.5434
CELL_PARAMETERS angstrom
4.2059 0.0486 -1.9664
3.3938 2.4846 -1.9664
-0.1781 -0.0594 7.4721

Preferred: <A>; penalty for the next structure: 6.6 kJ/mol of atoms.